1.
A plane-wave DFT calculation with PBE was carried out for a relaxed InFe2Pb crystal.

## Properties
Energy relative to the elements = 0.60 eV/atom
N(E_F) = 1.120 states/eV/atom
Total DFT energy (no corrections) = -5.247 eV/atom
Energy above the lowest structure with this stoichiometry = 1.26 eV per formula unit
Magnetization = 5.1 μB/f.u.
Mass density = 9.65 Mg/m³

Geometry as CIF:
```
data_InFe2Pb
_cell_length_a 3.1411
_cell_length_b 3.1411
_cell_length_c 26.1890
_cell_angle_alpha 90.00
_cell_angle_beta 90.00
_cell_angle_gamma 120.00
_symmetry_space_group_name_H-M 'R -3 m'
_symmetry_Int_Tables_number 166
_symmetry_space_group_name_Hall '-R 3 2"'
loop_
_atom_site_label
_atom_site_fract_x
_atom_site_fract_y
_atom_site_fract_z
In1 0.0000 0.0000 0.0000
Fe1 0.0000 0.0000 0.2520
Pb1 0.0000 0.0000 0.5000
```

2.
A plane-wave DFT calculation with PBE was carried out for a relaxed Np4Cl3F7 crystal.

## Properties
N(E_F) = 1.779 states/eV/atom
Total DFT energy (no corrections) = -7.702 eV/atom
Magnetization = 18.0 μB/f.u.
Mass density = 8.18 Mg/m³
Raw formation energy = -2.67 eV/atom

Geometry as CIF:
```
data_Np4Cl3F7
_cell_length_a 15.533
_cell_length_b 4.019
_cell_length_c 9.623
_cell_angle_alpha 90.00
_cell_angle_beta 126.67
_cell_angle_gamma 90.00
_symmetry_space_group_name_H-M 'C 1 2/m 1'
_symmetry_Int_Tables_number 12
_symmetry_space_group_name_Hall '-C 2y'
loop_
_atom_site_label
_atom_site_fract_x
_atom_site_fract_y
_atom_site_fract_z
Np1 0.102 0.000 0.298
Np2 0.168 0.500 0.769
Cl1 0.000 0.000 0.500
Cl2 0.184 0.500 0.187
F1 0.000 0.000 0.000
F2 0.007 0.500 0.758
F3 0.174 0.000 0.921
F4 0.191 0.500 0.525
```

3.
A plane-wave DFT calculation with PBE was carried out for a relaxed Tb5Y5Er2 crystal.

## Properties
Energy relative to the elements = 0.17 eV/atom
N(E_F) = 1.499 states/eV/atom
Total DFT energy (no corrections) = -5.213 eV/atom
Energy above the lowest structure with this stoichiometry = 1.80 eV per formula unit
Magnetization = 0.0 μB/f.u.
Mass density = 6.68 Mg/m³

Geometry as CIF:
```
data_Tb5Y5Er2
_cell_length_a 5.114
_cell_length_b 6.035
_cell_length_c 14.376
_cell_angle_alpha 77.95
_cell_angle_beta 89.96
_cell_angle_gamma 64.95
_symmetry_space_group_name_H-M 'P -1'
_symmetry_Int_Tables_number 2
_symmetry_space_group_name_Hall '-P 1'
loop_
_atom_site_label
_atom_site_fract_x
_atom_site_fract_y
_atom_site_fract_z
Tb1 0.000 0.000 0.000
Tb2 0.223 0.554 0.577
Tb3 0.342 0.317 0.831
Y1 0.043 0.915 0.305
Y2 0.326 0.347 0.068
Y3 0.500 0.000 0.500
Er1 0.341 0.318 0.289
```

4.
A plane-wave DFT calculation with PBE was carried out for a relaxed CdCu2Pb2 crystal.

## Properties
Energy relative to the elements = 0.36 eV/atom
N(E_F) = 0.439 states/eV/atom
Total DFT energy (no corrections) = -2.949 eV/atom
Energy above the lowest structure with this stoichiometry = 0.99 eV per formula unit
Magnetization = 0.0 μB/f.u.
Mass density = 8.96 Mg/m³

Geometry as CIF:
```
data_CdCu2Pb2
_cell_length_a 4.908
_cell_length_b 4.908
_cell_length_c 10.064
_cell_angle_alpha 90.00
_cell_angle_beta 90.00
_cell_angle_gamma 90.00
_symmetry_space_group_name_H-M 'I 4/m m m'
_symmetry_Int_Tables_number 139
_symmetry_space_group_name_Hall '-I 4 2'
loop_
_atom_site_label
_atom_site_fract_x
_atom_site_fract_y
_atom_site_fract_z
Cd1 0.000 0.000 0.000
Cu1 0.000 0.000 0.383
Pb1 0.000 0.500 0.250
```

5.
A plane-wave DFT calculation with PBE was carried out for a relaxed Tl2TeBr crystal.

## Properties
N(E_F) = 0.821 states/eV/atom
Total DFT energy (no corrections) = -2.784 eV/atom
Energy above the lowest structure with this stoichiometry = 0.34 eV per formula unit
Magnetization = 0.0 μB/f.u.
Mass density = 6.99 Mg/m³
Raw formation energy = -0.40 eV/atom

Geometry as CIF:
```
data_Tl2TeBr
_cell_length_a 4.5826
_cell_length_b 4.5826
_cell_length_c 24.1369
_cell_angle_alpha 90.00
_cell_angle_beta 90.00
_cell_angle_gamma 120.00
_symmetry_space_group_name_H-M 'R 3 m'
_symmetry_Int_Tables_number 160
_symmetry_space_group_name_Hall 'R 3 -2"'
loop_
_atom_site_label
_atom_site_fract_x
_atom_site_fract_y
_atom_site_fract_z
Tl1 0.0000 0.0000 0.0000
Tl2 0.0000 0.0000 0.1762
Te1 0.0000 0.0000 0.5801
Br1 0.0000 0.0000 0.7531
```

6.
A plane-wave DFT calculation with PBE was carried out for a relaxed MgOs3Pd crystal.

## Properties
Energy relative to the elements = 2.37 eV/atom
N(E_F) = 1.286 states/eV/atom
Total DFT energy (no corrections) = -5.725 eV/atom
Energy above the lowest structure with this stoichiometry = 0.00 eV per formula unit
Magnetization = 0.0 μB/f.u.
Mass density = 13.52 Mg/m³

Geometry as CIF:
```
data_MgOs3Pd
_cell_length_a 4.416
_cell_length_b 4.416
_cell_length_c 4.416
_cell_angle_alpha 90.00
_cell_angle_beta 90.00
_cell_angle_gamma 90.00
_symmetry_space_group_name_H-M 'P m -3 m'
_symmetry_Int_Tables_number 221
_symmetry_space_group_name_Hall '-P 4 2 3'
loop_
_atom_site_label
_atom_site_fract_x
_atom_site_fract_y
_atom_site_fract_z
Mg1 0.000 0.000 0.000
Os1 0.000 0.000 0.500
Pd1 0.500 0.500 0.500
```

7.
A plane-wave DFT calculation with PBE was carried out for a relaxed CsInHg10 crystal.

## Properties
Energy relative to the elements = -0.05 eV/atom
N(E_F) = 0.466 states/eV/atom
Total DFT energy (no corrections) = -0.599 eV/atom
Magnetization = 0.0 μB/f.u.
Mass density = 9.70 Mg/m³

Geometry as CIF:
```
data_CsInHg10
_cell_length_a 5.607
_cell_length_b 6.361
_cell_length_c 10.816
_cell_angle_alpha 90.00
_cell_angle_beta 90.00
_cell_angle_gamma 90.00
_symmetry_space_group_name_H-M 'P m m m'
_symmetry_Int_Tables_number 47
_symmetry_space_group_name_Hall '-P 2 2'
loop_
_atom_site_label
_atom_site_fract_x
_atom_site_fract_y
_atom_site_fract_z
Cs1 0.000 0.000 0.000
In1 0.000 0.500 0.500
Hg1 0.000 0.000 0.351
Hg2 0.000 0.500 0.200
Hg3 0.500 0.000 0.500
Hg4 0.500 0.250 0.253
Hg5 0.500 0.500 0.000
```

8.
A plane-wave DFT calculation with PBE was carried out for a relaxed Pu3Pa4Se8 crystal.

## Properties
N(E_F) = 2.675 states/eV/atom
Total DFT energy (no corrections) = -8.616 eV/atom
Magnetization = 19.4 μB/f.u.
Mass density = 9.90 Mg/m³
Raw formation energy = -1.36 eV/atom

Geometry as CIF:
```
data_Pu3Pa4Se8
_cell_length_a 11.520
_cell_length_b 11.533
_cell_length_c 8.103
_cell_angle_alpha 90.00
_cell_angle_beta 134.55
_cell_angle_gamma 90.00
_symmetry_space_group_name_H-M 'C 1 2/m 1'
_symmetry_Int_Tables_number 12
_symmetry_space_group_name_Hall '-C 2y'
loop_
_atom_site_label
_atom_site_fract_x
_atom_site_fract_y
_atom_site_fract_z
Pu1 0.000 0.000 0.000
Pu2 0.250 0.250 0.000
Pa1 0.000 0.500 0.000
Pa2 0.000 0.500 0.500
Pa3 0.250 0.250 0.500
Se1 0.000 0.245 0.500
Se2 0.000 0.249 0.000
Se3 0.242 0.000 0.500
Se4 0.247 0.000 0.992
```